*A*
GaSn2N: relaxed, PBE.

Summary:
Symmetry = I-42d, No. 122

```
data_GaSn2N
_chemical_formula_sum 'Ga2 Sn4 N2'
_symmetry_space_group_name_H-M 'P 1'
_symmetry_Int_Tables_number 1
_symmetry_space_group_name_Hall 'P 1'
_cell_length_a 5.6834
_cell_length_b 5.6834
_cell_length_c 6.8438
_cell_angle_alpha 65.47
_cell_angle_beta 65.47
_cell_angle_gamma 90.00
loop_
_atom_site_label
_atom_site_type_symbol
_atom_site_fract_x
_atom_site_fract_y
_atom_site_fract_z
Sn1 Sn 0.5639 0.1250 0.2500
Sn2 Sn 0.1861 0.6250 0.2500
Sn3 Sn 0.3750 0.4361 0.7500
Sn4 Sn 0.8750 0.8139 0.7500
Ga1 Ga 0.0000 0.0000 0.0000
Ga2 Ga 0.7500 0.2500 0.5000
N1 N 0.5000 0.5000 0.0000
N2 N 0.2500 0.7500 0.5000
```


*B*
GaSn2N: relaxed, PBE.

Summary:
Symmetry = Fm-3m, No. 225

```
data_GaSn2N
_chemical_formula_sum 'Ga1 Sn2 N1'
_symmetry_space_group_name_H-M 'P 1'
_symmetry_Int_Tables_number 1
_symmetry_space_group_name_Hall 'P 1'
_cell_length_a 4.7680
_cell_length_b 4.7680
_cell_length_c 4.7680
_cell_angle_alpha 60.00
_cell_angle_beta 60.00
_cell_angle_gamma 60.00
loop_
_atom_site_label
_atom_site_type_symbol
_atom_site_fract_x
_atom_site_fract_y
_atom_site_fract_z
Sn1 Sn 0.2500 0.2500 0.2500
Sn2 Sn 0.7500 0.7500 0.7500
Ga1 Ga 0.5000 0.5000 0.5000
N1 N 0.0000 0.0000 0.0000
```


Most stable to least stable, the ends of the list are *A* and *B*.


*A*
GaSn2N: relaxed, PBE.

Summary:
Symmetry = R3m, No. 160

```
data_GaSn2N
_chemical_formula_sum 'Ga3 Sn6 N3'
_symmetry_space_group_name_H-M 'P 1'
_symmetry_Int_Tables_number 1
_symmetry_space_group_name_Hall 'P 1'
_cell_length_a 3.3830
_cell_length_b 3.3830
_cell_length_c 26.1865
_cell_angle_alpha 90.00
_cell_angle_beta 90.00
_cell_angle_gamma 120.00
loop_
_atom_site_label
_atom_site_type_symbol
_atom_site_fract_x
_atom_site_fract_y
_atom_site_fract_z
Sn1 Sn 0.0000 0.0000 0.2780
Sn2 Sn 0.3333 0.6667 0.9446
Sn3 Sn 0.6667 0.3333 0.6113
Sn4 Sn 0.0000 0.0000 0.1479
Sn5 Sn 0.3333 0.6667 0.8146
Sn6 Sn 0.6667 0.3333 0.4813
Ga1 Ga 0.0000 0.0000 0.6995
Ga2 Ga 0.3333 0.6667 0.3661
Ga3 Ga 0.6667 0.3333 0.0328
N1 N 0.0000 0.0000 0.7740
N2 N 0.3333 0.6667 0.4407
N3 N 0.6667 0.3333 0.1073
```


*B*
GaSn2N: relaxed, PBE.

Summary:
Symmetry = P1, No. 1

```
data_GaSn2N
_chemical_formula_sum 'Ga2 Sn4 N2'
_symmetry_space_group_name_H-M 'P 1'
_symmetry_Int_Tables_number 1
_symmetry_space_group_name_Hall 'P 1'
_cell_length_a 5.7094
_cell_length_b 6.3315
_cell_length_c 6.8279
_cell_angle_alpha 67.82
_cell_angle_beta 67.14
_cell_angle_gamma 64.15
loop_
_atom_site_label
_atom_site_type_symbol
_atom_site_fract_x
_atom_site_fract_y
_atom_site_fract_z
Sn1 Sn 0.7687 0.7522 0.3987
Sn2 Sn 0.4932 0.6353 0.0435
Sn3 Sn 0.4358 0.0924 0.6808
Sn4 Sn 0.9735 0.8311 0.8752
Ga1 Ga 0.7595 0.3409 0.7470
Ga2 Ga 0.2799 0.6038 0.5188
N1 N 0.2304 0.1748 0.1890
N2 N 0.0037 0.2371 0.2480
```


*C*
GaSn2N: relaxed, PBE.

Summary:
Symmetry = Imm2, No. 44

```
data_GaSn2N
_chemical_formula_sum 'Ga2 Sn4 N2'
_symmetry_space_group_name_H-M 'P 1'
_symmetry_Int_Tables_number 1
_symmetry_space_group_name_Hall 'P 1'
_cell_length_a 3.4215
_cell_length_b 3.1227
_cell_length_c 15.9711
_cell_angle_alpha 90.00
_cell_angle_beta 90.00
_cell_angle_gamma 90.00
loop_
_atom_site_label
_atom_site_type_symbol
_atom_site_fract_x
_atom_site_fract_y
_atom_site_fract_z
Sn1 Sn 0.0000 0.5000 0.4559
Sn2 Sn 0.5000 0.0000 0.9559
Sn3 Sn 0.0000 0.0000 0.7618
Sn4 Sn 0.5000 0.5000 0.2618
Ga1 Ga 0.0000 0.0000 0.0988
Ga2 Ga 0.5000 0.5000 0.5988
N1 N 0.0000 0.5000 0.1715
N2 N 0.5000 0.0000 0.6715
```


Most stable to least stable, the ends of the list are *C* and *B*.


*A*
GaSn2N: relaxed, PBE.

Summary:
Symmetry = R-3m, No. 166

```
data_GaSn2N
_chemical_formula_sum 'Ga1 Sn2 N1'
_symmetry_space_group_name_H-M 'P 1'
_symmetry_Int_Tables_number 1
_symmetry_space_group_name_Hall 'P 1'
_cell_length_a 4.2993
_cell_length_b 4.2993
_cell_length_c 7.2909
_cell_angle_alpha 72.85
_cell_angle_beta 72.85
_cell_angle_gamma 60.00
loop_
_atom_site_label
_atom_site_type_symbol
_atom_site_fract_x
_atom_site_fract_y
_atom_site_fract_z
Sn1 Sn 0.0949 0.0949 0.7152
Sn2 Sn 0.9051 0.9051 0.2848
Ga1 Ga 0.5000 0.5000 0.5000
N1 N 0.0000 0.0000 0.0000
```


*B*
GaSn2N: relaxed, PBE.

Summary:
Symmetry = P1, No. 1

```
data_GaSn2N
_chemical_formula_sum 'Ga2 Sn4 N2'
_symmetry_space_group_name_H-M 'P 1'
_symmetry_Int_Tables_number 1
_symmetry_space_group_name_Hall 'P 1'
_cell_length_a 5.8330
_cell_length_b 6.0296
_cell_length_c 6.2132
_cell_angle_alpha 76.51
_cell_angle_beta 61.60
_cell_angle_gamma 60.95
loop_
_atom_site_label
_atom_site_type_symbol
_atom_site_fract_x
_atom_site_fract_y
_atom_site_fract_z
Ga1 Ga 0.1496 0.0576 0.6847
Ga2 Ga 0.0438 0.4948 0.4531
Sn1 Sn 0.6868 0.9775 0.6879
Sn2 Sn 0.8250 0.2086 0.1797
Sn3 Sn 0.3105 0.5318 0.8877
Sn4 Sn 0.5023 0.8164 0.2160
N1 N 0.4108 0.5127 0.1956
N2 N 0.9187 0.5120 0.1962
```


Most stable to least stable, the ends of the list are *B* and *A*.


*A*
GaSn2N: relaxed, PBE.

Summary:
Symmetry = Cm, No. 8

```
data_GaSn2N
_chemical_formula_sum 'Ga4 Sn8 N4'
_symmetry_space_group_name_H-M 'P 1'
_symmetry_Int_Tables_number 1
_symmetry_space_group_name_Hall 'P 1'
_cell_length_a 5.1900
_cell_length_b 5.8031
_cell_length_c 12.6516
_cell_angle_alpha 90.00
_cell_angle_beta 101.59
_cell_angle_gamma 90.00
loop_
_atom_site_label
_atom_site_type_symbol
_atom_site_fract_x
_atom_site_fract_y
_atom_site_fract_z
Sn1 Sn 0.3422 0.0000 0.4913
Sn2 Sn 0.3422 0.5000 0.9913
Sn3 Sn 0.8069 0.0000 0.1233
Sn4 Sn 0.8069 0.5000 0.6233
Sn5 Sn 0.1302 0.0000 0.8123
Sn6 Sn 0.1302 0.5000 0.3123
Sn7 Sn 0.7910 0.0000 0.3780
Sn8 Sn 0.7910 0.5000 0.8780
Ga1 Ga 0.2658 0.0000 0.0351
Ga2 Ga 0.2658 0.5000 0.5351
Ga3 Ga 0.5416 0.0000 0.7094
Ga4 Ga 0.5416 0.5000 0.2094
N1 N 0.8106 0.2540 0.2531
N2 N 0.8106 0.7460 0.2531
N3 N 0.8106 0.7540 0.7531
N4 N 0.8106 0.2460 0.7531
```


*B*
GaSn2N: relaxed, PBE.

Summary:
Symmetry = P1, No. 1

```
data_GaSn2N
_chemical_formula_sum 'Ga1 Sn2 N1'
_symmetry_space_group_name_H-M 'P 1'
_symmetry_Int_Tables_number 1
_symmetry_space_group_name_Hall 'P 1'
_cell_length_a 3.1445
_cell_length_b 5.0631
_cell_length_c 6.2883
_cell_angle_alpha 67.44
_cell_angle_beta 87.25
_cell_angle_gamma 72.23
loop_
_atom_site_label
_atom_site_type_symbol
_atom_site_fract_x
_atom_site_fract_y
_atom_site_fract_z
Ga1 Ga 0.0899 0.1216 0.4280
Sn1 Sn 0.3666 0.5051 0.7243
Sn2 Sn 0.2750 0.8094 0.1265
N1 N 0.4730 0.3608 0.4256
```


*C*
GaSn2N: relaxed, PBE.

Summary:
Symmetry = Cm, No. 8

```
data_GaSn2N
_chemical_formula_sum 'Ga2 Sn4 N2'
_symmetry_space_group_name_H-M 'P 1'
_symmetry_Int_Tables_number 1
_symmetry_space_group_name_Hall 'P 1'
_cell_length_a 9.0131
_cell_length_b 3.2287
_cell_length_c 5.6299
_cell_angle_alpha 90.00
_cell_angle_beta 101.24
_cell_angle_gamma 90.00
loop_
_atom_site_label
_atom_site_type_symbol
_atom_site_fract_x
_atom_site_fract_y
_atom_site_fract_z
Ga1 Ga 0.9879 0.0000 0.2132
Ga2 Ga 0.9879 0.5000 0.7132
Sn1 Sn 0.6719 0.0000 0.1264
Sn2 Sn 0.6719 0.5000 0.6264
Sn3 Sn 0.3158 0.0000 0.9793
Sn4 Sn 0.3158 0.5000 0.4793
N1 N 0.0613 0.0000 0.9037
N2 N 0.0613 0.5000 0.4037
```


Most stable to least stable, the ends of the list are *C* and *A*.


*A*
GaSnTe2N: relaxed, PBE.

Summary:
Symmetry = P4/mmm, No. 123

```
data_GaSnTe2N
_chemical_formula_sum 'Ga1 Sn1 Te2 N1'
_symmetry_space_group_name_H-M 'P 1'
_symmetry_Int_Tables_number 1
_symmetry_space_group_name_Hall 'P 1'
_cell_length_a 6.0471
_cell_length_b 6.0471
_cell_length_c 3.8688
_cell_angle_alpha 90.00
_cell_angle_beta 90.00
_cell_angle_gamma 90.00
loop_
_atom_site_label
_atom_site_type_symbol
_atom_site_fract_x
_atom_site_fract_y
_atom_site_fract_z
Te1 Te 0.0000 0.5000 0.0000
Te2 Te 0.5000 0.0000 0.0000
Sn1 Sn 0.0000 0.0000 0.0000
Ga1 Ga 0.5000 0.5000 0.5000
N1 N 0.0000 0.0000 0.5000
```


*B*
GaSnTe2N: relaxed, PBE.

Summary:
Symmetry = P4/mmm, No. 123

```
data_GaSnTe2N
_chemical_formula_sum 'Ga1 Sn1 Te2 N1'
_symmetry_space_group_name_H-M 'P 1'
_symmetry_Int_Tables_number 1
_symmetry_space_group_name_Hall 'P 1'
_cell_length_a 5.9652
_cell_length_b 5.9652
_cell_length_c 3.5153
_cell_angle_alpha 90.00
_cell_angle_beta 90.00
_cell_angle_gamma 90.00
loop_
_atom_site_label
_atom_site_type_symbol
_atom_site_fract_x
_atom_site_fract_y
_atom_site_fract_z
Te1 Te 0.0000 0.5000 0.0000
Te2 Te 0.5000 0.0000 0.0000
Sn1 Sn 0.5000 0.5000 0.5000
Ga1 Ga 0.0000 0.0000 0.0000
N1 N 0.0000 0.0000 0.5000
```


Most stable to least stable, the ends of the list are *B* and *A*.


*A*
GaSnTeN2: relaxed, PBE.

Summary:
Symmetry = P4/mmm, No. 123

```
data_GaSnTeN2
_chemical_formula_sum 'Ga1 Sn1 Te1 N2'
_symmetry_space_group_name_H-M 'P 1'
_symmetry_Int_Tables_number 1
_symmetry_space_group_name_Hall 'P 1'
_cell_length_a 4.1971
_cell_length_b 4.1971
_cell_length_c 5.6274
_cell_angle_alpha 90.00
_cell_angle_beta 90.00
_cell_angle_gamma 90.00
loop_
_atom_site_label
_atom_site_type_symbol
_atom_site_fract_x
_atom_site_fract_y
_atom_site_fract_z
Te1 Te 0.0000 0.0000 0.5000
Sn1 Sn 0.5000 0.5000 0.5000
Ga1 Ga 0.0000 0.0000 0.0000
N1 N 0.0000 0.5000 0.0000
N2 N 0.5000 0.0000 0.0000
```


*B*
GaSnTeN2: relaxed, PBE.

Summary:
Symmetry = P4/mmm, No. 123

```
data_GaSnTeN2
_chemical_formula_sum 'Ga1 Sn1 Te1 N2'
_symmetry_space_group_name_H-M 'P 1'
_symmetry_Int_Tables_number 1
_symmetry_space_group_name_Hall 'P 1'
_cell_length_a 4.1720
_cell_length_b 4.1720
_cell_length_c 6.1777
_cell_angle_alpha 90.00
_cell_angle_beta 90.00
_cell_angle_gamma 90.00
loop_
_atom_site_label
_atom_site_type_symbol
_atom_site_fract_x
_atom_site_fract_y
_atom_site_fract_z
Te1 Te 0.0000 0.0000 0.5000
Sn1 Sn 0.0000 0.0000 0.0000
Ga1 Ga 0.5000 0.5000 0.5000
N1 N 0.0000 0.5000 0.0000
N2 N 0.5000 0.0000 0.0000
```


Most stable to least stable, the ends of the list are *B* and *A*.